Here is a geometry-optimized ScTaTi2N structure from Alexandria via LeMat-Bulk. Energies are from PBE.

Properties
Theoretical density in Mg/m³: 7.1
Formation energy from raw total energies in meV per atom: -600
Symmetry: No. 123
E_tot in eV per atom: -9.06

abc: 4.237 4.237 4.351
angles: 90.00 90.00 90.00
Element x y z (fractional)
Sc 0.000 0.000 0.000
Ta 0.500 0.500 0.000
Ti 0.000 0.500 0.500
Ti 0.500 0.000 0.500
N 0.500 0.500 0.500